Entry 1:
A plane-wave DFT calculation with PBE was carried out for crystalline Mg2CrCu at its relaxed geometry. Values from VASP.

```
&SYSTEM
  ibrav = 0, nat = 4, ntyp = 3
/
ATOMIC_SPECIES
Cr 52.00 Cr.upf
Cu 63.55 Cu.upf
Mg 24.30 Mg.upf
CELL_PARAMETERS angstrom
3.178 0.000 0.000
0.000 3.179 0.000
0.000 0.000 6.920
ATOMIC_POSITIONS crystal
Cr 0.000 0.000 0.539
Cu 0.500 0.500 0.727
Mg 0.000 0.000 0.956
Mg 0.500 0.500 0.278
```

- space group = P4mm (99)
- ΔE_f (eV per atom) = 0.22
- ΔE to the lowest computed polymorph (meV per atom) = 0

***

Entry 2:
A plane-wave DFT calculation with PBE was carried out for crystalline Nd6CuAg at its relaxed geometry. Values from VASP.

```
&SYSTEM
  ibrav = 0, nat = 8, ntyp = 3
/
ATOMIC_SPECIES
Nd 144.24 Nd.upf
Cu 63.55 Cu.upf
Ag 107.87 Ag.upf
CELL_PARAMETERS angstrom
0.180 4.880 -1.844
-4.141 1.256 2.919
3.416 5.384 7.196
ATOMIC_POSITIONS crystal
Nd 0.750 0.750 0.501
Nd 0.603 0.103 0.794
Nd 0.103 0.603 0.794
Nd 0.397 0.897 0.206
Nd 0.250 0.250 0.499
Nd 0.897 0.397 0.206
Cu 0.500 0.500 0.000
Ag 0.000 0.000 0.000
```

- space group = I4/mmm (139)
- ΔE_f (eV per atom) = -0.07

***

Entry 3:
A plane-wave DFT calculation with PBE was carried out for crystalline Nd3NiIr at its relaxed geometry. Values from VASP.

```
&SYSTEM
  ibrav = 0, nat = 10, ntyp = 3
/
ATOMIC_SPECIES
Nd 144.24 Nd.upf
Ni 58.69 Ni.upf
Ir 192.22 Ir.upf
CELL_PARAMETERS angstrom
-3.394 2.391 -5.730
-7.057 -0.381 -0.348
-3.927 6.441 0.645
ATOMIC_POSITIONS crystal
Nd 0.748 0.394 0.747
Nd 0.111 0.748 0.747
Nd 0.394 0.111 0.747
Nd 0.252 0.606 0.253
Nd 0.889 0.252 0.253
Nd 0.606 0.889 0.253
Ni 0.318 0.318 0.045
Ni 0.682 0.682 0.955
Ir 0.822 0.822 0.534
Ir 0.178 0.178 0.466
```

- space group = R-3 (148)
- ΔE_f (eV per atom) = -0.38
- ΔE to the lowest computed polymorph (meV per atom) = 14

***

Entry 4:
A plane-wave DFT calculation with PBE was carried out for crystalline Ca6TlCd at its relaxed geometry. Values from VASP.

```
&SYSTEM
  ibrav = 0, nat = 8, ntyp = 3
/
ATOMIC_SPECIES
Ca 40.08 Ca.upf
Tl 204.38 Tl.upf
Cd 112.41 Cd.upf
CELL_PARAMETERS angstrom
5.287 0.000 1.592
-0.480 5.265 1.592
-0.156 -0.172 10.094
ATOMIC_POSITIONS crystal
Ca 0.750 0.750 0.500
Ca 0.599 0.100 0.801
Ca 0.100 0.600 0.801
Ca 0.401 0.900 0.199
Ca 0.250 0.250 0.500
Ca 0.900 0.400 0.199
Tl 0.500 0.500 0.000
Cd 0.000 0.000 0.000
```

- space group = I4/mmm (139)
- ΔE_f (eV per atom) = -0.21

***

Entry 5:
A plane-wave DFT calculation with PBE was carried out for crystalline Ti2Co2Sn at its relaxed geometry. Values from VASP.

```
&SYSTEM
  ibrav = 0, nat = 5, ntyp = 3
/
ATOMIC_SPECIES
Ti 47.87 Ti.upf
Co 58.93 Co.upf
Sn 118.71 Sn.upf
CELL_PARAMETERS angstrom
0.382 5.376 1.510
-4.400 2.353 2.537
3.059 -4.657 0.532
ATOMIC_POSITIONS crystal
Ti 0.750 0.250 0.500
Ti 0.250 0.750 0.500
Co 0.615 0.615 0.000
Co 0.385 0.385 0.000
Sn 0.000 0.000 0.000
```

- space group = I4/mmm (139)
- ΔE_f (eV per atom) = -0.22

***

Entry 6:
A plane-wave DFT calculation with PBE was carried out for crystalline La2TlTc at its relaxed geometry. Values from VASP.

```
&SYSTEM
  ibrav = 0, nat = 4, ntyp = 3
/
ATOMIC_SPECIES
La 138.91 La.upf
Tc 98.00 Tc.upf
Tl 204.38 Tl.upf
CELL_PARAMETERS angstrom
-0.201 3.973 1.255
0.696 1.593 3.792
8.549 1.950 -1.195
ATOMIC_POSITIONS crystal
La 0.004 0.004 0.943
La 0.496 0.496 0.557
Tc 0.750 0.750 0.750
Tl 0.250 0.250 0.250
```

- space group = C2/m (12)
- ΔE_f (eV per atom) = 0.06

***

Entry 7:
A plane-wave DFT calculation with PBE was carried out for crystalline La3NdDy4 at its relaxed geometry. Values from VASP.

```
&SYSTEM
  ibrav = 0, nat = 8, ntyp = 3
/
ATOMIC_SPECIES
Dy 162.50 Dy.upf
Nd 144.24 Nd.upf
La 138.91 La.upf
CELL_PARAMETERS angstrom
-1.414 0.749 -3.110
-1.684 -8.314 -3.203
-8.844 -0.402 1.959
ATOMIC_POSITIONS crystal
Dy 0.634 0.114 0.617
Dy 0.366 0.886 0.383
Dy 0.366 0.383 0.886
Dy 0.634 0.617 0.114
Nd 0.500 0.000 0.000
La 0.758 0.242 0.242
La 0.242 0.758 0.758
La 0.000 0.500 0.500
```

- space group = Immm (71)
- ΔE_f (eV per atom) = 0.13
- ΔE to the lowest computed polymorph (meV per atom) = 99

***

Entry 8:
A plane-wave DFT calculation with PBE was carried out for crystalline Mg2B at its relaxed geometry. Values from VASP.

```
&SYSTEM
  ibrav = 0, nat = 6, ntyp = 2
/
ATOMIC_SPECIES
Mg 24.30 Mg.upf
B 10.81 B.upf
CELL_PARAMETERS angstrom
-1.996 2.390 -0.404
-1.081 -2.830 0.849
2.862 2.139 10.773
ATOMIC_POSITIONS crystal
Mg 0.324 0.474 0.982
Mg 0.493 0.058 0.748
Mg 0.010 0.318 0.514
Mg 0.812 0.218 0.217
B 0.244 0.935 0.366
B 0.577 0.601 0.364
```

- space group = Cm (8)
- ΔE_f (eV per atom) = -0.04